[1]
A plane-wave DFT calculation with GGA-PBE was carried out for a relaxed structure of LiGaSi.

Formation energy from raw total energies: -61 meV/atom
Magnetic moment: 0.0 μB/f.u.

Cell: 4.767 2.684 7.319 Å, 90.00 90.00 90.00°
Positions (direct):
Li 0.250 0.000 0.113
Li 0.750 0.000 0.887
Ga 0.250 0.500 0.779
Ga 0.750 0.500 0.221
Si 0.250 0.500 0.424
Si 0.750 0.500 0.576



[2]
A plane-wave DFT calculation with GGA-PBE was carried out for a relaxed structure of Sr2Hg.

Magnetic moment: 0.4 μB/f.u.
Energy of formation from the pure elements: -30.34 kJ per mole of atoms

Cell: 11.024 11.024 11.024 Å, 60.00 60.00 60.00°
Positions (direct):
Sr 0.000 0.000 0.000
Sr 0.000 0.000 0.500
Sr 0.000 0.500 0.000
Sr 0.185 0.185 0.565
Sr 0.185 0.565 0.185
Sr 0.185 0.565 0.565
Sr 0.435 0.435 0.815
Sr 0.435 0.815 0.435
Sr 0.435 0.815 0.815
Sr 0.500 0.000 0.000
Sr 0.565 0.185 0.185
Sr 0.565 0.185 0.565
Sr 0.565 0.565 0.185
Sr 0.815 0.435 0.435
Sr 0.815 0.435 0.815
Sr 0.815 0.815 0.435
Hg 0.165 0.778 0.778
Hg 0.222 0.222 0.222
Hg 0.222 0.222 0.835
Hg 0.222 0.835 0.222
Hg 0.778 0.165 0.778
Hg 0.778 0.778 0.165
Hg 0.778 0.778 0.778
Hg 0.835 0.222 0.222



[3]
A plane-wave DFT calculation with GGA-PBE was carried out for a relaxed structure of MgSc2F.

Formation energy from raw total energies: -828 meV/atom
Magnetic moment: 0.1 μB/f.u.
Energy above the most stable polymorph in this dataset: 171 meV per atom

Cell: 9.778 9.778 9.778 Å, 18.06 18.06 18.06°
Positions (direct):
Mg 0.000 0.000 0.000
Sc 0.106 0.106 0.106
Sc 0.894 0.894 0.894
F 0.500 0.500 0.500



[4]
A plane-wave DFT calculation with GGA-PBE was carried out for a relaxed structure of RbSiSeO6.

Formation energy from raw total energies: -1326 meV/atom
Magnetic moment: 1.0 μB/f.u.

Cell: 4.799 4.799 6.547 Å, 90.00 90.00 120.00°
Positions (direct):
Rb 0.000 0.000 0.000
Si 0.667 0.333 0.500
Se 0.333 0.667 0.500
O 0.381 0.004 0.657
O 0.381 0.377 0.343
O 0.623 0.004 0.343
O 0.623 0.619 0.657
O 0.996 0.377 0.657
O 0.996 0.619 0.343



> Number 1 is which compound?

LiGaSi



> Which formula does entry 3 have?

MgSc2F



> Which value of magnetic moment does entry 3 give?

0.1 μB/f.u.



> The lowest magnetic moment belongs to which entry?

LiGaSi